A relaxed Ca4SiAu3 crystal, computed with PBE-GGA.

Properties
Its total energy is -28.743 eV per formula unit. The calculation puts the size of the total moment at 0.000 μB per atom. The uncorrected formation energy is -0.685 eV/atom. Its theoretical density is 6.35 g/cm³.

Unit cell a=4.1090 b=4.4781 c=11.0725 alpha=90.00 beta=90.00 gamma=90.00
Positions (direct):
1 Ca 0.0000 0.0000 0.0000
2 Ca 0.0000 0.5000 0.2761
3 Ca 0.5000 0.0000 0.4898
4 Ca 0.5000 0.5000 0.7841
5 Si 0.5000 0.0000 0.2075
6 Au 0.0000 0.0000 0.7192
7 Au 0.0000 0.5000 0.5551
8 Au 0.5000 0.5000 0.0725